1.
# InRh4Pb PBE optimized geometry
data_InRh4Pb
_space_group_name_H-M_alt 'F -4 3 m'
_space_group_IT_number 216
_space_group_name_Hall 'F -4 2 3'
_cell_length_a 7.5227
_cell_length_b 7.5227
_cell_length_c 7.5227
_cell_angle_alpha 90.00
_cell_angle_beta 90.00
_cell_angle_gamma 90.00
loop_
_atom_site_label
_atom_site_type_symbol
_atom_site_fract_x
_atom_site_fract_y
_atom_site_fract_z
In1 In 0.0000 0.0000 0.0000
Rh1 Rh 0.1251 0.1251 0.3749
Pb1 Pb 0.2500 0.2500 0.7500
# **Calculated total energy**: -141.214 eV per cell
# **Calculated volume**: 426 Å³/cell

***

2.
# KSr2LiCd PBE optimized geometry
data_KSr2LiCd
_space_group_name_H-M_alt 'P 4/m m m'
_space_group_IT_number 123
_space_group_name_Hall '-P 4 2'
_cell_length_a 6.5315
_cell_length_b 6.5315
_cell_length_c 5.5112
_cell_angle_alpha 90.00
_cell_angle_beta 90.00
_cell_angle_gamma 90.00
loop_
_atom_site_label
_atom_site_type_symbol
_atom_site_fract_x
_atom_site_fract_y
_atom_site_fract_z
K1 K 0.0000 0.0000 0.0000
Sr1 Sr 0.0000 0.5000 0.5000
Li1 Li 0.5000 0.5000 0.0000
Cd1 Cd 0.5000 0.5000 0.5000
# **Calculated total energy**: -7.128 eV per cell
# **Calculated volume**: 235 Å³/cell

***

3.
# PmY3Ho2 PBE optimized geometry
data_PmY3Ho2
_space_group_name_H-M_alt 'C 1 2/m 1'
_space_group_IT_number 12
_space_group_name_Hall '-C 2y'
_cell_length_a 22.0599
_cell_length_b 3.6512
_cell_length_c 11.3195
_cell_angle_alpha 90.00
_cell_angle_beta 120.85
_cell_angle_gamma 90.00
loop_
_atom_site_label
_atom_site_type_symbol
_atom_site_fract_x
_atom_site_fract_y
_atom_site_fract_z
Pm1 Pm 0.1107 0.0000 0.4870
Y1 Y 0.0551 0.5000 0.1791
Y2 Y 0.1121 0.0000 0.9861
Y3 Y 0.2222 0.0000 0.3455
Ho1 Ho 0.0564 0.5000 0.6827
Ho2 Ho 0.2224 0.0000 0.8492
# **Calculated total energy**: -133.038 eV per cell
# **Calculated volume**: 783 Å³/cell
# **Energy above the most stable polymorph in this dataset**: 0.0 kJ/mol of atoms